(1)
Below is ZnFeW2 after structural relaxation, with properties calculated at the PBE level.

Total moment in μB/cell: 2.1
Formation enthalpy at 0 K in meV/atom: 271
Energy in eV per formula unit: -34.6
Calculated volume in Å³ per cell: 58
Space group: I4/mmm

a b c (Å): 4.866 4.866 4.866
angles (deg): 134.41 134.41 66.45
Site moments in Bohr magnetons follow the coordinates.
Element x y z (fractional)
Zn 0.250 0.750 0.500  0.00
W 0.500 0.500 0.000  0.00
W 0.000 0.000 0.000  0.00
Fe 0.750 0.250 0.500  2.06


(2)
Below is ZnFeW2 after structural relaxation, with properties calculated at the PBE level.

Total moment in μB/cell: 2.0
Formation enthalpy at 0 K in meV/atom: 132
Energy in eV per formula unit: -35.1
Calculated volume in Å³ per cell: 59
Space group: Cmm2

a b c (Å): 2.681 2.681 8.546
angles (deg): 90.00 90.00 107.04
Site moments in Bohr magnetons follow the coordinates.
Element x y z (fractional)
Fe 0.500 0.500 0.748  2.21
W 0.500 0.500 0.252  -0.02
W 0.000 0.000 0.985  -0.08
Zn 0.000 0.000 0.515  -0.03


(3)
Below is Zn2FeW after structural relaxation, with properties calculated at the PBE level.

Total moment in μB/cell: 0.0
Formation enthalpy at 0 K in meV/atom: 104
Energy in eV per formula unit: -23.5
Calculated volume in Å³ per cell: 55
Space group: P4mm

a b c (Å): 2.898 2.898 6.574
angles (deg): 90.00 90.00 90.00
Element x y z (fractional)
Fe 0.000 0.000 0.505
W 0.500 0.500 0.718
Zn 0.000 0.000 0.008
Zn 0.500 0.500 0.268


(4)
Below is ZnFe6W after structural relaxation, with properties calculated at the PBE level.

Total moment in μB/cell: 45.9
Formation enthalpy at 0 K in meV/atom: 78
Energy in eV per formula unit: -64.4
Calculated volume in Å³ per cell: 390
Space group: Cmmm

a b c (Å): 6.334 6.334 10.331
angles (deg): 90.00 90.00 109.74
Site moments in Bohr magnetons follow the coordinates.
Element x y z (fractional)
Fe 0.131 0.380 0.625  1.83
Fe 0.131 0.380 0.375  1.83
Fe 0.869 0.620 0.625  1.83
Fe 0.251 0.749 0.247  2.09
Fe 0.873 0.621 0.876  2.31
Fe 0.621 0.873 0.124  2.31
Fe 0.380 0.131 0.625  1.83
Fe 0.620 0.869 0.375  1.83
Fe 0.127 0.379 0.876  2.31
Fe 0.379 0.127 0.124  2.31
Fe 0.379 0.127 0.876  2.31
Fe 0.251 0.749 0.753  2.09
Fe 0.500 0.500 0.500  2.02
Fe 0.500 0.500 0.000  2.44
Fe 0.749 0.251 0.753  2.09
Fe 0.380 0.131 0.375  1.83
Fe 0.873 0.621 0.124  2.31
Fe 0.620 0.869 0.625  1.83
Fe 0.869 0.620 0.375  1.83
Fe 0.000 0.000 0.500  1.18
Fe 0.621 0.873 0.876  2.31
Fe 0.127 0.379 0.124  2.31
Fe 0.749 0.251 0.247  2.09
Fe 0.000 0.000 0.000  2.34
W 0.000 0.000 0.744  -0.70
W 0.000 0.000 0.256  -0.70
W 0.244 0.756 0.500  -0.67
W 0.756 0.244 0.500  -0.67
Zn 0.752 0.248 0.000  -0.07
Zn 0.248 0.752 0.000  -0.07
Zn 0.500 0.500 0.249  -0.06
Zn 0.500 0.500 0.751  -0.06


(5)
Below is Zn2FeW after structural relaxation, with properties calculated at the PBE level.

Total moment in μB/cell: 4.3
Formation enthalpy at 0 K in meV/atom: 707
Energy in eV per formula unit: -21.1
Calculated volume in Å³ per cell: 119
Space group: I-42d

a b c (Å): 6.833 6.833 5.466
angles (deg): 51.32 51.32 90.00
Site moments in Bohr magnetons follow the coordinates.
Element x y z (fractional)
Fe 0.250 0.750 0.500  2.27
Fe 0.500 0.500 0.000  2.27
Zn 0.875 0.855 0.750  -0.02
Zn 0.375 0.395 0.750  -0.02
Zn 0.145 0.625 0.250  -0.02
Zn 0.605 0.125 0.250  -0.01
W 0.000 0.000 0.000  -0.11
W 0.750 0.250 0.500  -0.11


(6)
Below is ZnFeW2 after structural relaxation, with properties calculated at the PBE level.

Total moment in μB/cell: 0.6
Formation enthalpy at 0 K in meV/atom: 337
Energy in eV per formula unit: -34.3
Calculated volume in Å³ per cell: 59
Space group: R3m

a b c (Å): 8.973 8.973 8.973
angles (deg): 17.74 17.74 17.74
Site moments in Bohr magnetons follow the coordinates.
Element x y z (fractional)
Zn 0.494 0.494 0.494  -0.01
W 0.008 0.008 0.008  -0.14
W 0.249 0.249 0.249  0.00
Fe 0.750 0.750 0.750  0.73